Record 1
The following is a DFT calculation (SCAN) of MnIn2Os at its PBEsol-relaxed geometry.

Output
Total moment (μB per atom): 1.011
Energy relative to the elements (meV/atom): 139.9
Calculated total energy (eV/cell): -156.35

Cell and atoms, written as POSCAR:
```
MnIn2Os
1.0
-3.703 1.484 1.362
-2.014 -2.727 -2.505
2.858 -1.917 3.336
Os In Mn
1 2 1
direct
0.500 0.500 0.000 Os
0.250 0.750 0.500 In
0.750 0.250 0.500 In
0.000 0.000 0.000 Mn
```



Record 2
The following is a DFT calculation (SCAN) of MnInOs at its PBEsol-relaxed geometry.

Output
Total moment (μB per atom): 1.201
Energy relative to the elements (meV/atom): 323.6
Calculated total energy (eV/cell): -122.55

Cell and atoms, written as POSCAR:
```
MnInOs
1.0
2.919 0.000 0.000
0.000 4.264 0.000
0.000 -2.132 3.692
In Os Mn
1 1 1
direct
0.999 0.000 0.000 In
0.498 0.333 0.667 Os
0.502 0.667 0.333 Mn
```